# 1
A plane-wave DFT calculation with meta-GGA SCAN was carried out for a crystal of AlCdCl3 relaxed with PBEsol.

Cell and atoms, written as POSCAR:
```
AlCdCl3
1.0
4.765 0.000 0.000
0.000 4.765 0.000
0.000 0.000 4.765
Al Cd Cl
1 1 3
Direct
0.000 0.000 0.000
0.500 0.500 0.500
0.000 0.000 0.500
0.000 0.500 0.000
0.500 0.000 0.000
```

Properties
uncorrected formation energy: -4.4 eV/f.u.
total DFT energy (no corrections): -13.301 eV per atom

# 2
A plane-wave DFT calculation with meta-GGA SCAN was carried out for a crystal of K2CoH2Se2O10 relaxed with PBEsol.

Cell and atoms, written as POSCAR:
```
K2CoH2Se2O10
1.0
5.164 0.000 0.000
-2.009 6.517 0.000
-1.073 -2.285 7.105
K Co H Se O
2 1 2 2 10
Direct
0.193 0.311 0.222
0.807 0.689 0.778
0.500 0.000 0.500
0.433 0.018 0.797
0.567 0.982 0.203
0.156 0.255 0.709
0.844 0.745 0.291
0.125 0.831 0.478
0.162 0.107 0.852
0.217 0.509 0.821
0.422 0.259 0.594
0.427 0.025 0.269
0.573 0.975 0.731
0.578 0.741 0.406
0.783 0.491 0.179
0.838 0.893 0.148
0.875 0.169 0.522
```

Properties
total DFT energy (no corrections): -9.591 eV per atom

# 3
A plane-wave DFT calculation with meta-GGA SCAN was carried out for a crystal of KMg2Be relaxed with PBEsol.

Cell and atoms, written as POSCAR:
```
KMg2Be
1.0
-1.503 2.866 5.715
1.503 -2.866 5.715
1.503 2.866 -5.715
K Mg Be
1 2 1
Direct
0.000 0.000 0.000
0.308 0.808 0.500
0.692 0.192 0.500
0.500 0.500 0.000
```

Properties
formation enthalpy at 0 K: 0.457 eV/atom
total DFT energy (no corrections): -5.201 eV per atom

# 4
A plane-wave DFT calculation with meta-GGA SCAN was carried out for a crystal of TlAgHg2 relaxed with PBEsol.

Cell and atoms, written as POSCAR:
```
TlAgHg2
1.0
4.772 -1.640 0.000
4.772 1.640 0.000
-1.218 0.000 5.761
Tl Ag Hg
1 1 2
Direct
0.000 0.000 0.000
0.500 0.500 0.500
0.240 0.240 0.721
0.760 0.760 0.279
```

Properties
formation enthalpy at 0 K: 0.068 eV/atom
total DFT energy (no corrections): -59.946 eV per atom

# 5
A plane-wave DFT calculation with meta-GGA SCAN was carried out for a crystal of Mg2CrPb relaxed with PBEsol.

Cell and atoms, written as POSCAR:
```
Mg2CrPb
1.0
3.554 0.000 0.000
0.000 3.554 0.000
0.000 0.000 6.747
Mg Cr Pb
2 1 1
Direct
0.000 0.000 0.222
0.000 0.000 0.778
0.500 0.500 0.000
0.500 0.500 0.500
```

Properties
formation enthalpy at 0 K: 0.049 eV/atom
total DFT energy (no corrections): -25.980 eV per atom

# 6
A plane-wave DFT calculation with meta-GGA SCAN was carried out for a crystal of SrSbAs relaxed with PBEsol.

Cell and atoms, written as POSCAR:
```
SrSbAs
1.0
4.771 0.000 0.000
-2.386 4.132 0.000
0.000 0.000 4.409
Sr Sb As
1 1 1
Direct
0.000 0.000 0.000
0.667 0.333 0.464
0.333 0.667 0.563
```

Properties
uncorrected formation energy: -2.1 eV/f.u.
E above lowest polymorph: 153.2 meV per atom
total DFT energy (no corrections): -27.261 eV per atom

# 7
A plane-wave DFT calculation with meta-GGA SCAN was carried out for a crystal of GaGe2Cl relaxed with PBEsol.

Cell and atoms, written as POSCAR:
```
GaGe2Cl
1.0
0.000 3.331 3.331
3.331 0.000 3.331
3.331 3.331 0.000
Ga Ge Cl
1 2 1
Direct
0.000 0.000 0.000
0.250 0.250 0.250
0.750 0.750 0.750
0.500 0.500 0.500
```

Properties
uncorrected formation energy: 1.2 eV/f.u.
total DFT energy (no corrections): -15.322 eV per atom

# 8
A plane-wave DFT calculation with meta-GGA SCAN was carried out for a crystal of MgCrBr2 relaxed with PBEsol.

Cell and atoms, written as POSCAR:
```
MgCrBr2
1.0
-2.563 2.563 8.043
2.563 -2.563 8.043
2.563 2.563 -8.043
Mg Cr Br
2 2 4
Direct
0.000 0.000 0.000
0.750 0.250 0.500
0.250 0.750 0.500
0.500 0.500 0.000
0.136 0.625 0.011
0.375 0.386 0.511
0.614 0.125 0.989
0.875 0.864 0.489
```

Properties
uncorrected formation energy: -1.5 eV/f.u.
total DFT energy (no corrections): -15.936 eV per atom